Here is an optimized crystal structure of MgNpF5 from Alexandria. Energies are from GGA-PBE.

Unit cell a=5.7324 b=5.7324 c=7.8692 alpha=69.87 beta=69.87 gamma=71.75
Last column: nearest neighbours and their distance in Å.
Atoms (fractional coordinates):
Mg (0.0000, 0.0000, 0.0000)  6 F 1.98-2.04
Mg (0.0000, 0.0000, 0.5000)  6 F 1.98-2.04
Np (0.5501, 0.4499, 0.2500)  7 F 2.24-2.47
Np (0.4499, 0.5501, 0.7500)  7 F 2.24-2.47
F (0.7818, 0.7492, 0.1199)  1 Mg 1.98
F (0.2923, 0.6919, 0.4697)  1 Mg 2.04
F (0.7492, 0.7818, 0.6199)  1 Mg 1.98
F (0.9172, 0.0828, 0.2500)  2 Mg 2.04
F (0.3081, 0.7077, 0.0303)  1 Mg 2.04
F (0.6919, 0.2923, 0.9697)  1 Mg 2.04
F (0.0828, 0.9172, 0.7500)  2 Mg 2.04
F (0.2508, 0.2182, 0.3801)  1 Mg 1.98
F (0.7077, 0.3081, 0.5303)  1 Mg 2.04
F (0.2182, 0.2508, 0.8801)  1 Mg 1.98

Summary:
formation energy from raw total energies: -3451 meV/atom
calculated total energy: -96.1 eV/cell